[1]
A geometry-optimized SmAlAu structure. Source: the Alexandria database, functional PBEsol.

Cell lengths 7.3086, 4.4798, 7.6944 Å; angles 90.00, 90.00, 90.00 degrees
With the nearest neighbours (Å) after each atom.
Space group Pnma (No. 62)
Unique sites:
Sm: 0.0094 0.2500 0.1928  5 Au 3.04-3.24, 6 Al 3.14-3.35
Al: 0.1707 0.2500 0.5792  4 Au 2.62-2.76
Au: 0.2060 0.7500 0.4050  4 Al 2.62-2.76

**Total moment**: 0.000 μB/f.u.
**Formation energy**: -0.79 eV per atom
**DOS at the Fermi energy**: 0.70 states/eV per atom

***

[2]
A geometry-optimized SmAl2Au2 structure. Source: the Alexandria database, functional PBEsol.

Cell lengths 4.3358, 4.3358, 10.3497 Å; angles 90.00, 90.00, 90.00 degrees
With the nearest neighbours (Å) after each atom.
Space group P4/nmm (No. 129, origin choice 2)
Unique sites:
Sm: 0.2500 0.2500 0.2488  8 Al 3.30-3.39, 8 Au 3.31-3.37
Al: 0.2500 0.2500 0.8686  5 Au 2.46-2.56
Al: 0.2500 0.7500 0.5000  4 Au 2.56
Au: 0.2500 0.2500 0.6311  5 Al 2.46-2.56
Au: 0.2500 0.7500 0.0000  4 Al 2.56

**Total moment**: 0.000 μB/f.u.
**Formation energy**: -0.76 eV per atom
**DOS at the Fermi energy**: 0.53 states/eV per atom

***

[3]
A geometry-optimized AlSnAu3 structure. Source: the Alexandria database, functional PBEsol.

Cell lengths 5.1068, 5.1068, 5.1068 Å; angles 90.00, 90.00, 90.00 degrees
With the nearest neighbours (Å) after each atom.
Space group Pm-3m (No. 221)
Unique sites:
Al: 0.0000 0.0000 0.0000  12 Au 3.61
Sn: 0.5000 0.5000 0.5000  6 Au 2.55
Au: 0.0000 0.5000 0.5000  2 Sn 2.55

**Total moment**: 0.000 μB/f.u.
**Formation energy**: 0.61 eV per atom
**DOS at the Fermi energy**: 0.17 states/eV per atom

***

[4]
A geometry-optimized Al3SnAu structure. Source: the Alexandria database, functional PBEsol.

Cell lengths 5.1230, 5.1230, 5.1230 Å; angles 90.00, 90.00, 90.00 degrees
With the nearest neighbours (Å) after each atom.
Space group Pm-3m (No. 221)
Unique sites:
Al: 0.0000 0.0000 0.5000  2 Sn 2.56
Sn: 0.0000 0.0000 0.0000  6 Al 2.56
Au: 0.5000 0.5000 0.5000  12 Al 3.62

**Total moment**: 0.000 μB/f.u.
**Formation energy**: 0.98 eV per atom
**DOS at the Fermi energy**: 0.46 states/eV per atom

***

[5]
A geometry-optimized Al2SnAu structure. Source: the Alexandria database, functional PBEsol.

Cell lengths 4.4889, 4.4889, 16.7383 Å; angles 90.00, 90.00, 90.00 degrees
With the nearest neighbours (Å) after each atom.
Space group I-42d (No. 122)
Unique sites:
Al: 0.1915 0.2500 0.1250  2 Au 2.53, 2 Sn 2.75, 2 Al 2.83
Sn: 0.0000 0.0000 0.5000  4 Al 2.75
Au: 0.0000 0.0000 0.0000  4 Al 2.53

**Total moment**: 0.000 μB/f.u.
**Formation energy**: -0.05 eV per atom
**DOS at the Fermi energy**: 0.26 states/eV per atom

***

[6]
A geometry-optimized AlSnAu3 structure. Source: the Alexandria database, functional PBEsol.

Cell lengths 4.7931, 4.7931, 4.7931 Å; angles 90.00, 90.00, 90.00 degrees
With the nearest neighbours (Å) after each atom.
Space group Pm-3m (No. 221)
Unique sites:
Al: 0.0000 0.0000 0.0000  6 Au 2.40
Sn: 0.5000 0.5000 0.5000  12 Au 3.39
Au: 0.0000 0.0000 0.5000  2 Al 2.40

**Total moment**: 0.000 μB/f.u.
**Formation energy**: 0.21 eV per atom
**DOS at the Fermi energy**: 0.33 states/eV per atom

***

[7]
A geometry-optimized Sr2Al2Au structure. Source: the Alexandria database, functional PBEsol.

Cell lengths 3.8129, 3.8129, 18.9341 Å; angles 90.00, 90.00, 90.00 degrees
With the nearest neighbours (Å) after each atom.
Space group I4/mmm (No. 139)
Unique sites:
Sr: 0.0000 0.0000 0.0971  4 Au 3.26, 4 Al 3.47
Al: 0.0000 0.5000 0.2500  4 Al 2.70
Au: 0.0000 0.0000 0.5000  8 Sr 3.26

**Total moment**: 0.000 μB/f.u.
**Formation energy**: -0.19 eV per atom
**DOS at the Fermi energy**: 0.91 states/eV per atom

***

[8]
A geometry-optimized SrAlAu2 structure. Source: the Alexandria database, functional PBEsol.

Cell lengths 3.3480, 3.3480, 7.3361 Å; angles 90.00, 90.00, 90.00 degrees
With the nearest neighbours (Å) after each atom.
Space group P4/mmm (No. 123)
Unique sites:
Sr: 0.0000 0.0000 0.0000  8 Au 3.26, 4 Sr 3.35
Al: 0.0000 0.0000 0.5000  8 Au 2.77
Au: 0.5000 0.5000 0.3051  4 Al 2.77, 1 Au 2.86

**Total moment**: 0.000 μB/f.u.
**Formation energy**: -0.47 eV per atom
**DOS at the Fermi energy**: 0.47 states/eV per atom

***

The lowest formation energy belongs to which entry?
SmAlAu